Crystalline MoRhAu2 at its relaxed geometry, computed with PBE.

Lattice parameters (Å, degrees): 2.8330 2.8330 28.5580 90.00 90.00 120.00
Space group R3m (No. 160, hexagonal axes)
Symmetry-distinct sites (fractional):
Mo1 0.0000 0.0000 0.0000
Rh1 0.0000 0.0000 0.7387
Au1 0.0000 0.0000 0.2481
Au2 0.0000 0.0000 0.4913

Excess energy over the best structure of this formula in the dataset = 32 meV/atom
Magnetization = 0.00 Bohr magnetons per cell
Calculated formation energy = 37 meV per atom


Crystalline MoRhAu2 at its relaxed geometry, computed with PBE.

Lattice parameters (Å, degrees): 3.980 3.980 8.163 90.00 90.00 90.00
Space group I-4m2 (No. 119)
Symmetry-distinct sites (fractional):
Mo1 0.000 0.000 0.000
Rh1 0.000 0.500 0.250
Au1 0.000 0.000 0.500
Au2 0.000 0.500 0.750

Excess energy over the best structure of this formula in the dataset = 163 meV/atom
Magnetization = 0.01 Bohr magnetons per cell
Calculated formation energy = 168 meV per atom


Crystalline MoRhAu2 at its relaxed geometry, computed with PBE.

Lattice parameters (Å, degrees): 2.805 2.805 8.252 90.00 90.00 90.00
Space group P4/mmm (No. 123)
Symmetry-distinct sites (fractional):
Mo1 0.000 0.000 0.000
Rh1 0.000 0.000 0.500
Au1 0.500 0.500 0.252

Excess energy over the best structure of this formula in the dataset = 203 meV/atom
Magnetization = 0.00 Bohr magnetons per cell
Calculated formation energy = 208 meV per atom


Crystalline MoRhAu2 at its relaxed geometry, computed with PBE.

Lattice parameters (Å, degrees): 2.870 4.179 5.428 90.00 90.12 90.00
Space group P2/m (No. 10)
Symmetry-distinct sites (fractional):
Mo1 0.000 0.000 0.000
Rh1 0.000 0.000 0.500
Au1 0.500 0.500 0.249

Excess energy over the best structure of this formula in the dataset = 210 meV/atom
Magnetization = 0.00 Bohr magnetons per cell
Calculated formation energy = 215 meV per atom


Crystalline MoRh2Au at its relaxed geometry, computed with PBE.

Lattice parameters (Å, degrees): 5.652 7.721 2.817 90.00 90.00 90.00
Space group Cmmm (No. 65)
Symmetry-distinct sites (fractional):
Mo1 0.000 0.000 0.000
Rh1 0.250 0.250 0.500
Au1 0.000 0.500 0.000

Excess energy over the best structure of this formula in the dataset = 173 meV/atom
Magnetization = 0.00 Bohr magnetons per cell
Calculated formation energy = 90 meV per atom


Crystalline MoRh2Au at its relaxed geometry, computed with PBE.

Lattice parameters (Å, degrees): 2.808 2.808 7.887 90.00 90.00 90.00
Space group P4/mmm (No. 123)
Symmetry-distinct sites (fractional):
Mo1 0.000 0.000 0.000
Rh1 0.500 0.500 0.230
Au1 0.000 0.000 0.500

Excess energy over the best structure of this formula in the dataset = 0 meV/atom
Magnetization = 0.00 Bohr magnetons per cell
Calculated formation energy = -83 meV per atom


Crystalline MoRhAu3 at its relaxed geometry, computed with PBE.

Lattice parameters (Å, degrees): 4.972 4.972 4.972 90.00 90.00 90.00
Space group Pm-3m (No. 221)
Symmetry-distinct sites (fractional):
Mo1 0.000 0.000 0.000
Rh1 0.500 0.500 0.500
Au1 0.000 0.500 0.500

Excess energy over the best structure of this formula in the dataset = 0 meV/atom
Magnetization = 5.45 Bohr magnetons per cell
Calculated formation energy = 1409 meV per atom


Crystalline MoRh2Au at its relaxed geometry, computed with PBE.

Lattice parameters (Å, degrees): 6.292 6.292 6.292 90.00 90.00 90.00
Space group Fm-3m (No. 225)
Symmetry-distinct sites (fractional):
Mo1 0.000 0.000 0.000
Rh1 0.250 0.250 0.250
Au1 0.000 0.000 0.500

Excess energy over the best structure of this formula in the dataset = 228 meV/atom
Magnetization = 0.00 Bohr magnetons per cell
Calculated formation energy = 146 meV per atom


Crystalline MoRh4Au at its relaxed geometry, computed with PBE.

Lattice parameters (Å, degrees): 7.200 7.200 7.200 90.00 90.00 90.00
Space group F-43m (No. 216)
Symmetry-distinct sites (fractional):
Mo1 0.000 0.000 0.000
Rh1 0.125 0.125 0.625
Au1 0.250 0.250 0.250

Magnetization = 0.00 Bohr magnetons per cell
Calculated formation energy = 218 meV per atom


Crystalline MoRhAu at its relaxed geometry, computed with PBE.

Lattice parameters (Å, degrees): 6.071 6.071 6.071 90.00 90.00 90.00
Space group F-43m (No. 216)
Symmetry-distinct sites (fractional):
Mo1 0.000 0.000 0.000
Rh1 0.250 0.250 0.250
Au1 0.000 0.000 0.500

Excess energy over the best structure of this formula in the dataset = 573 meV/atom
Magnetization = 4.04 Bohr magnetons per cell
Calculated formation energy = 543 meV per atom


Crystalline MoRhAu2 at its relaxed geometry, computed with PBE.

Lattice parameters (Å, degrees): 5.388 8.620 2.822 90.00 90.00 90.00
Space group Cmmm (No. 65)
Symmetry-distinct sites (fractional):
Mo1 0.000 0.000 0.000
Rh1 0.000 0.500 0.000
Au1 0.250 0.250 0.500

Excess energy over the best structure of this formula in the dataset = 273 meV/atom
Magnetization = 0.33 Bohr magnetons per cell
Calculated formation energy = 278 meV per atom


Crystalline Mo2Rh2Au at its relaxed geometry, computed with PBE.

Lattice parameters (Å, degrees): 7.598 7.598 2.776 90.00 90.00 90.00
Space group P4/mbm (No. 127)
Symmetry-distinct sites (fractional):
Mo1 0.169 0.331 0.000
Rh1 0.125 0.625 0.500
Au1 0.000 0.000 0.500

Excess energy over the best structure of this formula in the dataset = 0 meV/atom
Magnetization = 0.00 Bohr magnetons per cell
Calculated formation energy = 25 meV per atom


Crystalline Mo3RhAu at its relaxed geometry, computed with PBE.

Lattice parameters (Å, degrees): 4.680 4.680 4.680 90.00 90.00 90.00
Space group Pm-3m (No. 221)
Symmetry-distinct sites (fractional):
Mo1 0.000 0.000 0.500
Rh1 0.000 0.000 0.000
Au1 0.500 0.500 0.500

Excess energy over the best structure of this formula in the dataset = 0 meV/atom
Magnetization = 0.00 Bohr magnetons per cell
Calculated formation energy = 1607 meV per atom


Crystalline MoRh2Au at its relaxed geometry, computed with PBE.

Lattice parameters (Å, degrees): 7.041 7.041 5.563 90.00 90.00 90.00
Space group I-42d (No. 122)
Symmetry-distinct sites (fractional):
Mo1 0.000 0.000 0.000
Rh1 0.213 0.750 0.125
Au1 0.000 0.000 0.500

Excess energy over the best structure of this formula in the dataset = 443 meV/atom
Magnetization = 0.00 Bohr magnetons per cell
Calculated formation energy = 360 meV per atom


Crystalline MoRh2Au at its relaxed geometry, computed with PBE.

Lattice parameters (Å, degrees): 4.807 2.799 4.905 90.00 111.07 90.00
Space group P2/m (No. 10)
Symmetry-distinct sites (fractional):
Mo1 0.000 0.000 0.000
Rh1 0.500 0.000 0.500
Rh2 0.500 0.500 0.000
Au1 0.000 0.500 0.500

Excess energy over the best structure of this formula in the dataset = 209 meV/atom
Magnetization = 0.00 Bohr magnetons per cell
Calculated formation energy = 127 meV per atom


Crystalline MoRhAu2 at its relaxed geometry, computed with PBE.

Lattice parameters (Å, degrees): 2.850 3.964 5.793 90.00 90.00 90.00
Space group Pmm2 (No. 25)
Symmetry-distinct sites (fractional):
Mo1 0.000 0.000 0.000
Rh1 0.500 0.500 0.205
Au1 0.000 0.000 0.475
Au2 0.500 0.500 0.736

Excess energy over the best structure of this formula in the dataset = 82 meV/atom
Magnetization = 0.00 Bohr magnetons per cell
Calculated formation energy = 87 meV per atom


Crystalline MoRhAu2 at its relaxed geometry, computed with PBE.

Lattice parameters (Å, degrees): 7.399 7.399 5.284 90.00 90.00 90.00
Space group I-42d (No. 122)
Symmetry-distinct sites (fractional):
Mo1 0.000 0.000 0.000
Rh1 0.000 0.000 0.500
Au1 0.248 0.250 0.125

Excess energy over the best structure of this formula in the dataset = 708 meV/atom
Magnetization = 4.34 Bohr magnetons per cell
Calculated formation energy = 713 meV per atom


Crystalline MoRh2Au at its relaxed geometry, computed with PBE.

Lattice parameters (Å, degrees): 2.8063 2.8063 27.3916 90.00 90.00 120.00
Space group R-3m (No. 166, hexagonal axes)
Symmetry-distinct sites (fractional):
Mo1 0.0000 0.0000 0.0000
Rh1 0.0000 0.0000 0.2560
Au1 0.0000 0.0000 0.5000

Excess energy over the best structure of this formula in the dataset = 17 meV/atom
Magnetization = 0.00 Bohr magnetons per cell
Calculated formation energy = -65 meV per atom


Crystalline MoRh2Au at its relaxed geometry, computed with PBE.

Lattice parameters (Å, degrees): 3.279 3.279 5.835 90.00 90.00 90.00
Space group P4/mmm (No. 123)
Symmetry-distinct sites (fractional):
Mo1 0.000 0.000 0.000
Rh1 0.500 0.500 0.232
Au1 0.000 0.000 0.500

Excess energy over the best structure of this formula in the dataset = 140 meV/atom
Magnetization = 0.00 Bohr magnetons per cell
Calculated formation energy = 57 meV per atom


Crystalline MoRh2Au at its relaxed geometry, computed with PBE.

Lattice parameters (Å, degrees): 5.472 5.480 8.168 90.00 90.00 90.00
Space group F222 (No. 22)
Symmetry-distinct sites (fractional):
Mo1 0.000 0.000 0.000
Rh1 0.000 0.000 0.500
Rh2 0.250 0.250 0.250
Au1 0.250 0.250 0.750

Excess energy over the best structure of this formula in the dataset = 115 meV/atom
Magnetization = 0.00 Bohr magnetons per cell
Calculated formation energy = 32 meV per atom


Crystalline MoRh2Au at its relaxed geometry, computed with PBE.

Lattice parameters (Å, degrees): 6.300 6.300 6.300 90.00 90.00 90.00
Space group F-43m (No. 216)
Symmetry-distinct sites (fractional):
Mo1 0.000 0.000 0.000
Rh1 0.000 0.000 0.500
Rh2 0.250 0.250 0.250
Au1 0.250 0.250 0.750

Excess energy over the best structure of this formula in the dataset = 387 meV/atom
Magnetization = 0.01 Bohr magnetons per cell
Calculated formation energy = 304 meV per atom


Crystalline MoRhAu at its relaxed geometry, computed with PBE.

Lattice parameters (Å, degrees): 2.8167 2.8167 7.0013 90.00 90.00 120.00
Space group P3m1 (No. 156)
Symmetry-distinct sites (fractional):
Mo1 0.0000 0.0000 0.0000
Rh1 0.6667 0.3333 0.2960
Au1 0.3333 0.6667 0.6478

Excess energy over the best structure of this formula in the dataset = 77 meV/atom
Magnetization = 0.00 Bohr magnetons per cell
Calculated formation energy = 47 meV per atom


Crystalline MoRh2Au at its relaxed geometry, computed with PBE.

Lattice parameters (Å, degrees): 2.780 4.005 5.555 90.00 90.04 90.00
Space group Pm (No. 6)
Symmetry-distinct sites (fractional):
Mo1 0.000 0.000 0.000
Rh1 0.497 0.500 0.208
Rh2 0.998 0.000 0.458
Au1 0.500 0.500 0.717

Excess energy over the best structure of this formula in the dataset = 104 meV/atom
Magnetization = 0.00 Bohr magnetons per cell
Calculated formation energy = 21 meV per atom


Crystalline V2MoRhAu at its relaxed geometry, computed with PBE.

Lattice parameters (Å, degrees): 4.506 4.506 4.725 90.00 90.00 90.00
Space group P4/mmm (No. 123)
Symmetry-distinct sites (fractional):
V1 0.000 0.500 0.000
Mo1 0.000 0.000 0.500
Rh1 0.000 0.000 0.000
Au1 0.500 0.500 0.500

Magnetization = 0.00 Bohr magnetons per cell
Calculated formation energy = 1165 meV per atom


Crystalline MoRu2Au at its relaxed geometry, computed with PBE.

Lattice parameters (Å, degrees): 3.871 3.871 8.101 90.00 90.00 90.00
Space group I-4m2 (No. 119)
Symmetry-distinct sites (fractional):
Mo1 0.000 0.000 0.000
Ru1 0.000 0.000 0.500
Ru2 0.000 0.500 0.250
Au1 0.000 0.500 0.750

Excess energy over the best structure of this formula in the dataset = 77 meV/atom
Magnetization = 0.00 Bohr magnetons per cell
Calculated formation energy = 243 meV per atom


Crystalline MoRuAu at its relaxed geometry, computed with PBE.

Lattice parameters (Å, degrees): 2.785 5.354 6.926 74.09 78.72 77.51
Space group P1 (No. 1)
Symmetry-distinct sites (fractional):
Mo1 0.000 0.000 0.000
Mo2 0.351 0.385 0.716
Ru1 0.696 0.520 0.053
Ru2 0.989 0.626 0.359
Au1 0.270 0.117 0.325
Au2 0.695 0.865 0.682

Excess energy over the best structure of this formula in the dataset = 175 meV/atom
Magnetization = 0.00 Bohr magnetons per cell
Calculated formation energy = 326 meV per atom


Crystalline MoRu2Au at its relaxed geometry, computed with PBE.

Lattice parameters (Å, degrees): 6.274 6.274 6.274 90.00 90.00 90.00
Space group Fm-3m (No. 225)
Symmetry-distinct sites (fractional):
Mo1 0.000 0.000 0.000
Ru1 0.250 0.250 0.250
Au1 0.000 0.000 0.500

Excess energy over the best structure of this formula in the dataset = 173 meV/atom
Magnetization = 0.00 Bohr magnetons per cell
Calculated formation energy = 339 meV per atom


Crystalline MoRu2Au at its relaxed geometry, computed with PBE.

Lattice parameters (Å, degrees): 3.994 3.994 7.623 90.00 90.00 90.00
Space group I4/mmm (No. 139)
Symmetry-distinct sites (fractional):
Mo1 0.000 0.000 0.000
Ru1 0.000 0.500 0.250
Au1 0.000 0.000 0.500

Excess energy over the best structure of this formula in the dataset = 41 meV/atom
Magnetization = 0.00 Bohr magnetons per cell
Calculated formation energy = 207 meV per atom


Crystalline MoRu2Au at its relaxed geometry, computed with PBE.

Lattice parameters (Å, degrees): 5.613 7.663 2.832 90.00 90.00 90.00
Space group Cmmm (No. 65)
Symmetry-distinct sites (fractional):
Mo1 0.000 0.000 0.000
Ru1 0.250 0.250 0.500
Au1 0.000 0.500 0.000

Excess energy over the best structure of this formula in the dataset = 111 meV/atom
Magnetization = 0.00 Bohr magnetons per cell
Calculated formation energy = 277 meV per atom


Crystalline MoRuAu at its relaxed geometry, computed with PBE.

Lattice parameters (Å, degrees): 2.8081 2.8081 7.0015 90.00 90.00 120.00
Space group P3m1 (No. 156)
Symmetry-distinct sites (fractional):
Mo1 0.0000 0.0000 0.0000
Ru1 0.6667 0.3333 0.2954
Au1 0.3333 0.6667 0.6462

Excess energy over the best structure of this formula in the dataset = 11 meV/atom
Magnetization = 0.00 Bohr magnetons per cell
Calculated formation energy = 162 meV per atom